The following is a DFT calculation (meta-GGA SCAN) of Sr2AgBr at its PBEsol-relaxed geometry.

a = 4.3509 Å, b = 4.3509 Å, c = 24.3224 Å
α = 90.00°, β = 90.00°, γ = 120.00°
Last column: nearest neighbours and their distance in Å.
Space group R-3m (No. 166, hexagonal axes)
One atom of each set of equivalent atoms:
1 Sr 0.0000 0.0000 0.2423 (multiplicity 6)  3 Ag 3.11, 3 Br 3.35
2 Ag 0.0000 0.0000 0.5000 (multiplicity 3)  6 Sr 3.11
3 Br 0.0000 0.0000 0.0000 (multiplicity 3)  6 Sr 3.35

Calculated values
Energy above the most stable polymorph in this dataset: 0.0 meV per atom
N(E_F): 0.34 states/eV per atom
Uncorrected formation energy: -0.984 eV/atom